! Hf2GeBi, relaxed, DFT PBE; values from VASP
! - E_form (eV/atom) = -0.3334
! - E above lowest polymorph (eV/atom) = 0.013
&SYSTEM
  ibrav = 0, nat = 4, ntyp = 3
/
ATOMIC_SPECIES
Hf 178.49 Hf.upf
Ge 72.64 Ge.upf
Bi 208.98 Bi.upf
CELL_PARAMETERS angstrom
1.983 1.145 6.809
-1.983 1.145 6.809
0.000 -2.290 6.809
ATOMIC_POSITIONS angstrom
Hf 0.000 0.000 4.818
Hf 0.000 0.000 15.609
Ge 0.000 0.000 10.213
Bi 0.000 0.000 0.000

! Y2Ge6Pt21, relaxed, DFT PBE; values from VASP
! - E_form (eV/atom) = -0.4270
&SYSTEM
  ibrav = 0, nat = 29, ntyp = 3
/
ATOMIC_SPECIES
Y 88.91 Y.upf
Ge 72.64 Ge.upf
Pt 195.08 Pt.upf
CELL_PARAMETERS angstrom
0.000 6.260 6.260
6.260 0.000 6.260
6.260 6.260 0.000
ATOMIC_POSITIONS angstrom
Y 3.130 3.130 3.130
Y 9.390 9.390 9.390
Ge 6.260 6.260 2.912
Ge 6.260 2.912 6.260
Ge 9.607 6.260 6.260
Ge 2.912 6.260 6.260
Ge 6.260 9.607 6.260
Ge 6.260 6.260 9.607
Pt 1.485 1.485 1.485
Pt 4.775 4.775 1.485
Pt 4.775 1.485 4.775
Pt 6.260 4.086 4.086
Pt 8.433 6.260 4.086
Pt 8.433 4.086 6.260
Pt 11.034 7.745 7.745
Pt 4.086 6.260 4.086
Pt 6.260 8.433 4.086
Pt 4.086 4.086 6.260
Pt 6.260 6.260 6.260
Pt 8.433 8.433 6.260
Pt 6.260 4.086 8.433
Pt 8.433 6.260 8.433
Pt 1.485 4.775 4.775
Pt 4.086 8.433 6.260
Pt 4.086 6.260 8.433
Pt 6.260 8.433 8.433
Pt 7.745 11.034 7.745
Pt 7.745 7.745 11.034
Pt 11.034 11.034 11.034

! Rb3ZnAg2Cl9, relaxed, DFT PBE; values from VASP
! - raw formation energy (eV per atom) = -1.1583
&SYSTEM
  ibrav = 0, nat = 15, ntyp = 4
/
ATOMIC_SPECIES
Rb 85.47 Rb.upf
Zn 65.41 Zn.upf
Ag 107.87 Ag.upf
Cl 35.45 Cl.upf
CELL_PARAMETERS angstrom
7.222 0.000 0.000
-3.611 6.255 0.000
0.000 0.000 8.864
ATOMIC_POSITIONS angstrom
Rb 0.000 0.000 0.000
Rb 0.000 4.170 5.874
Rb 3.611 2.085 2.990
Zn 0.000 0.000 4.432
Ag 0.000 4.170 1.495
Ag 3.611 2.085 7.369
Cl -1.806 3.127 0.000
Cl 0.000 2.022 2.999
Cl -1.860 5.244 2.999
Cl 1.751 1.011 5.865
Cl 3.611 0.000 0.000
Cl 1.806 3.127 0.000
Cl 1.860 5.244 2.999
Cl 5.472 1.011 5.865
Cl 3.611 4.233 5.865

! TbDyMo, relaxed, DFT PBE; values from VASP
! - E_form (eV/atom) = 0.2504
&SYSTEM
  ibrav = 0, nat = 6, ntyp = 3
/
ATOMIC_SPECIES
Tb 158.93 Tb.upf
Dy 162.50 Dy.upf
Mo 95.94 Mo.upf
CELL_PARAMETERS angstrom
6.509 -2.155 0.000
6.509 2.155 0.000
-0.745 0.000 5.863
ATOMIC_POSITIONS angstrom
Tb 0.725 0.000 1.609
Tb 11.548 0.000 4.255
Dy 4.411 0.000 0.819
Dy 7.862 0.000 5.044
Mo 2.713 0.000 3.560
Mo 9.560 0.000 2.303

! NbGa2Pt, relaxed, DFT PBE; values from VASP
! - E_form (eV/atom) = -0.2627
&SYSTEM
  ibrav = 0, nat = 4, ntyp = 3
/
ATOMIC_SPECIES
Nb 92.91 Nb.upf
Ga 69.72 Ga.upf
Pt 195.08 Pt.upf
CELL_PARAMETERS angstrom
0.000 3.175 3.175
3.175 0.000 3.175
3.175 3.175 0.000
ATOMIC_POSITIONS angstrom
Nb 0.000 0.000 0.000
Ga 1.588 1.588 1.588
Ga 4.763 4.763 4.763
Pt 3.175 3.175 3.175

! SrMg2Mo, relaxed, DFT PBE; values from VASP
! - E_form (eV/atom) = 0.5904
! - E above lowest polymorph (eV/atom) = 0.102
&SYSTEM
  ibrav = 0, nat = 4, ntyp = 3
/
ATOMIC_SPECIES
Sr 87.62 Sr.upf
Mg 24.30 Mg.upf
Mo 95.94 Mo.upf
CELL_PARAMETERS angstrom
5.230 -1.497 0.000
5.230 1.497 0.000
-0.787 0.000 6.091
ATOMIC_POSITIONS angstrom
Sr 0.000 0.000 0.000
Mg 1.899 0.000 4.239
Mg 7.774 0.000 1.852
Mo 4.836 0.000 3.046

! CsNa2InAu, relaxed, DFT PBE; values from VASP
! - E_form (eV/atom) = -0.0629
! - E above lowest polymorph (eV/atom) = 0.078
&SYSTEM
  ibrav = 0, nat = 5, ntyp = 4
/
ATOMIC_SPECIES
Cs 132.91 Cs.upf
Na 22.99 Na.upf
In 114.82 In.upf
Au 196.97 Au.upf
CELL_PARAMETERS angstrom
6.089 0.000 0.000
0.000 6.089 0.000
0.000 0.000 5.318
ATOMIC_POSITIONS angstrom
Cs 0.000 0.000 0.000
Na 0.000 3.044 2.659
Na 3.044 0.000 2.659
In 3.044 3.044 2.659
Au 3.044 3.044 0.000

! Tm6ZnC3, relaxed, DFT PBE; values from VASP
! - E_form (eV/atom) = -0.3053
&SYSTEM
  ibrav = 0, nat = 20, ntyp = 3
/
ATOMIC_SPECIES
Tm 168.93 Tm.upf
Zn 65.41 Zn.upf
C 12.01 C.upf
CELL_PARAMETERS angstrom
10.812 0.000 0.000
0.000 3.544 0.000
-3.684 0.000 10.628
ATOMIC_POSITIONS angstrom
Tm -0.997 0.886 4.027
Tm 1.082 2.658 1.408
Tm 0.306 0.886 7.113
Tm 1.863 2.658 4.607
Tm 0.442 2.658 10.079
Tm 3.926 0.886 2.496
Tm 3.202 2.658 8.133
Tm 6.686 0.886 0.549
Tm 5.265 0.886 6.021
Tm 6.822 2.658 3.515
Tm 6.046 0.886 9.220
Tm 8.125 2.658 6.601
Zn -1.854 0.886 9.395
Zn 8.982 2.658 1.234
C -0.311 2.658 5.623
C 1.522 0.886 3.018
C 1.859 0.886 9.075
C 5.269 2.658 1.553
C 5.606 2.658 7.610
C 7.439 0.886 5.006